InTe2WF | Alexandria via LeMat-Bulk | PBE with a Hubbard U | relaxed; crystal system = tetragonal; final energy = -4.1506 eV/atom; space group = P4/mmm
1.0
5.676 0.000 0.000
0.000 5.676 0.000
0.000 0.000 4.200
In Te W F
1 2 1 1
direct
0.000 0.000 0.000
0.000 0.500 0.500
0.500 0.000 0.500
0.500 0.500 0.500
0.500 0.500 0.000